Computed, not measured: AuCl3F12 after structural relaxation at the PBE level of DFT.

It has space group R3c (No. 161, hexagonal axes), with a = 9.1369 Å, b = 9.1369 Å, c = 25.5601 Å, α = 90.00°, β = 90.00° and γ = 120.00°. The inequivalent atoms are Au at (0.0000, 0.0000, 0.0000), Cl at (0.0482, 0.4378, 0.4663), F at (0.1010, 0.2025, 0.0431), F at (0.2022, 0.1005, 0.4561), F at (0.2092, 0.1023, 0.1597) and F at (0.2187, 0.4436, 0.9378).

The density of states at the Fermi level is 57.629 states/eV per cell. The value obtained for the formation energy (no corrections) is -601 meV per atom. Its crystal system is trigonal. The total moment comes out at 24.2 μB per cell.